# 1
# Y2Ga3Cu4Pt, relaxed, DFT PBE
# Calculated volume, Å³/atom: 17.248
# ρ, g/cm3: 8.05
# ΔE_f, eV/atom: -0.47
# Raw total energy, eV/atom: -4.91
data_Y2Ga3Cu4Pt
_cell_length_a 3.970
_cell_length_b 3.970
_cell_length_c 10.944
_cell_angle_alpha 90.00
_cell_angle_beta 90.00
_cell_angle_gamma 90.00
_symmetry_space_group_name_H-M 'P -4 m 2'
_symmetry_Int_Tables_number 115
_symmetry_space_group_name_Hall 'P -4 -2'
loop_
_atom_site_label
_atom_site_type_symbol
_atom_site_fract_x
_atom_site_fract_y
_atom_site_fract_z
Y1 Y 0.000 0.500 0.246
Ga1 Ga 0.000 0.000 0.000
Ga2 Ga 0.000 0.500 0.633
Cu1 Cu 0.000 0.000 0.500
Cu2 Cu 0.000 0.500 0.852
Cu3 Cu 0.500 0.500 0.500
Pt1 Pt 0.500 0.500 0.000

=====

# 2
# Tb2Y3Ga2, relaxed, DFT PBE
# Calculated volume, Å³/atom: 28.083
# ρ, g/cm3: 6.12
# ΔE_f, eV/atom: -0.34
# Raw total energy, eV/atom: -5.30
data_Tb2Y3Ga2
_cell_length_a 12.957
_cell_length_b 3.757
_cell_length_c 8.881
_cell_angle_alpha 90.00
_cell_angle_beta 114.57
_cell_angle_gamma 90.00
_symmetry_space_group_name_H-M 'C 1 2/m 1'
_symmetry_Int_Tables_number 12
_symmetry_space_group_name_Hall '-C 2y'
loop_
_atom_site_label
_atom_site_type_symbol
_atom_site_fract_x
_atom_site_fract_y
_atom_site_fract_z
Tb1 Tb 0.148 0.000 0.310
Y1 Y 0.000 0.500 0.500
Y2 Y 0.113 0.500 0.939
Ga1 Ga 0.182 0.000 0.720

=====

# 3
# La3Ru, relaxed, DFT PBE
# Calculated volume, Å³/atom: 30.211
# ρ, g/cm3: 7.11
# ΔE_f, eV/atom: -0.18
# Raw total energy, eV/atom: -6.19
data_La3Ru
_cell_length_a 11.951
_cell_length_b 11.951
_cell_length_c 6.768
_cell_angle_alpha 90.00
_cell_angle_beta 90.00
_cell_angle_gamma 90.00
_symmetry_space_group_name_H-M 'P 42/n'
_symmetry_Int_Tables_number 86
loop_
_symmetry_equiv_pos_as_xyz
'x,y,z'
'-x,-y,-z'
'-y,x+1/2,z+1/2'
'y,-x+1/2,-z+1/2'
'-x+1/2,-y+1/2,z'
'x+1/2,y+1/2,-z'
'y+1/2,-x,z+1/2'
'-y+1/2,x,-z+1/2'
loop_
_atom_site_label
_atom_site_type_symbol
_atom_site_fract_x
_atom_site_fract_y
_atom_site_fract_z
La1 La 0.028 0.898 0.177
La2 La 0.107 0.824 0.682
La3 La 0.126 0.316 0.019
Ru1 Ru 0.059 0.321 0.497

=====

# 4
# Tb3Pr6Ho, relaxed, DFT PBE
# Calculated volume, Å³/atom: 35.485
# ρ, g/cm3: 6.96
# ΔE_f, eV/atom: 0.20
# Raw total energy, eV/atom: -4.51
# Energy relative to the lowest polymorph listed for this composition, eV per atom: 0.0628
data_Tb3Pr6Ho
_cell_length_a 10.248
_cell_length_b 12.447
_cell_length_c 5.564
_cell_angle_alpha 90.00
_cell_angle_beta 90.00
_cell_angle_gamma 90.00
_symmetry_space_group_name_H-M 'P b a m'
_symmetry_Int_Tables_number 55
_symmetry_space_group_name_Hall '-P 2 2ab'
loop_
_atom_site_label
_atom_site_type_symbol
_atom_site_fract_x
_atom_site_fract_y
_atom_site_fract_z
Tb1 Tb 0.000 0.000 0.000
Tb2 Tb 0.147 0.403 0.000
Pr1 Pr 0.060 0.226 0.500
Pr2 Pr 0.179 0.671 0.000
Pr3 Pr 0.186 0.972 0.500
Ho1 Ho 0.000 0.500 0.500

=====

# 5
# YMgCu, relaxed, DFT PBE
# Calculated volume, Å³/atom: 23.049
# ρ, g/cm3: 4.24
# ΔE_f, eV/atom: 0.19
# Raw total energy, eV/atom: -3.86
# Energy relative to the lowest polymorph listed for this composition, eV per atom: 0.4087
data_YMgCu
_cell_length_a 4.8728
_cell_length_b 4.8728
_cell_length_c 3.3628
_cell_angle_alpha 90.00
_cell_angle_beta 90.00
_cell_angle_gamma 120.00
_symmetry_space_group_name_H-M 'P -6 m 2'
_symmetry_Int_Tables_number 187
_symmetry_space_group_name_Hall 'P -6 2'
loop_
_atom_site_label
_atom_site_type_symbol
_atom_site_fract_x
_atom_site_fract_y
_atom_site_fract_z
Y1 Y 0.0000 0.0000 0.0000
Mg1 Mg 0.6667 0.3333 0.5000
Cu1 Cu 0.3333 0.6667 0.0000

=====

# 6
# SrDyAu, relaxed, DFT PBE
# Calculated volume, Å³/atom: 32.376
# ρ, g/cm3: 7.64
# ΔE_f, eV/atom: -0.55
# Raw total energy, eV/atom: -3.74
# Energy relative to the lowest polymorph listed for this composition, eV per atom: 0.0000
data_SrDyAu
_cell_length_a 5.011
_cell_length_b 5.011
_cell_length_c 7.736
_cell_angle_alpha 90.00
_cell_angle_beta 90.00
_cell_angle_gamma 90.00
_symmetry_space_group_name_H-M 'P 4/n m m'
_symmetry_Int_Tables_number 129
loop_
_symmetry_equiv_pos_as_xyz
'x,y,z'
'-x,-y,-z'
'-y+1/2,x,z'
'y+1/2,-x,-z'
'-x+1/2,-y+1/2,z'
'x+1/2,y+1/2,-z'
'y,-x+1/2,z'
'-y,x+1/2,-z'
'x+1/2,-y,-z'
'-x+1/2,y,z'
'-y,-x,-z'
'y,x,z'
'-x,y+1/2,-z'
'x,-y+1/2,z'
'y+1/2,x+1/2,-z'
'-y+1/2,-x+1/2,z'
loop_
_atom_site_label
_atom_site_type_symbol
_atom_site_fract_x
_atom_site_fract_y
_atom_site_fract_z
Sr1 Sr 0.250 0.250 0.127
Dy1 Dy 0.250 0.750 0.500
Au1 Au 0.250 0.250 0.701

=====

# 7
# Ti2H2Cl7, relaxed, DFT PBE
# Calculated volume, Å³/atom: 24.629
# ρ, g/cm3: 2.12
# Raw total energy, eV/atom: -4.40
data_Ti2H2Cl7
_cell_length_a 10.642
_cell_length_b 7.306
_cell_length_c 6.971
_cell_angle_alpha 90.00
_cell_angle_beta 91.46
_cell_angle_gamma 90.00
_symmetry_space_group_name_H-M 'C 1 2/m 1'
_symmetry_Int_Tables_number 12
_symmetry_space_group_name_Hall '-C 2y'
loop_
_atom_site_label
_atom_site_type_symbol
_atom_site_fract_x
_atom_site_fract_y
_atom_site_fract_z
Ti1 Ti 0.241 0.000 0.042
H1 H 0.000 0.051 0.500
Cl1 Cl 0.000 0.000 0.000
Cl2 Cl 0.082 0.500 0.789
Cl3 Cl 0.200 0.288 0.210

=====

# 8
# Tm3Mg3Sc2, relaxed, DFT PBE
# Calculated volume, Å³/atom: 25.930
# ρ, g/cm3: 5.36
# ΔE_f, eV/atom: -0.03
# Raw total energy, eV/atom: -3.89
data_Tm3Mg3Sc2
_cell_length_a 3.623
_cell_length_b 5.290
_cell_length_c 21.647
_cell_angle_alpha 90.00
_cell_angle_beta 90.00
_cell_angle_gamma 90.00
_symmetry_space_group_name_H-M 'I m m m'
_symmetry_Int_Tables_number 71
_symmetry_space_group_name_Hall '-I 2 2'
loop_
_atom_site_label
_atom_site_type_symbol
_atom_site_fract_x
_atom_site_fract_y
_atom_site_fract_z
Tm1 Tm 0.000 0.000 0.000
Tm2 Tm 0.000 0.500 0.130
Mg1 Mg 0.000 0.000 0.500
Mg2 Mg 0.000 0.500 0.379
Sc1 Sc 0.000 0.000 0.237